ZnTcAs2, optimized geometry, DFT PBE-GGA; calculated formation energy = 30 meV per atom
1.0
3.118 0.000 0.000
0.000 3.388 0.000
0.000 0.000 13.240
Zn Tc As
2 2 4
Direct
0.000 0.000 0.000
0.500 0.500 0.500
0.000 0.500 0.258
0.500 0.000 0.758
0.000 0.000 0.610
0.000 0.500 0.842
0.500 0.000 0.342
0.500 0.500 0.110

ZnTcAs2, optimized geometry, DFT PBE-GGA; calculated formation energy = 372 meV per atom
1.0
3.355 0.000 0.000
0.000 4.096 0.000
0.000 0.000 4.693
Zn Tc As
1 1 2
Direct
0.000 0.000 0.000
0.500 0.000 0.500
0.000 0.500 0.500
0.500 0.500 0.000

ZnTcAs2, optimized geometry, DFT PBE-GGA; calculated formation energy = -27 meV per atom
1.0
3.008 0.000 0.000
0.000 3.069 0.000
-0.011 0.000 7.682
Zn Tc As
1 1 2
Direct
0.000 0.000 0.000
0.500 0.000 0.500
0.001 0.500 0.699
0.999 0.500 0.301

ZnTc2As, optimized geometry, DFT PBE-GGA; calculated formation energy = 70 meV per atom; energy relative to the lowest polymorph listed for this composition = 50.4 meV/atom
1.0
2.857 0.000 0.000
-1.428 2.474 0.000
0.000 0.000 26.349
Zn Tc As
3 6 3
Direct
0.000 0.000 0.000
0.333 0.667 0.667
0.667 0.333 0.333
0.000 0.000 0.495
0.000 0.000 0.749
0.333 0.667 0.161
0.333 0.667 0.416
0.667 0.333 0.083
0.667 0.333 0.828
0.000 0.000 0.240
0.333 0.667 0.907
0.667 0.333 0.573

ZnTc2As, optimized geometry, DFT PBE-GGA; calculated formation energy = 19 meV per atom; energy relative to the lowest polymorph listed for this composition = 0.0 meV/atom
1.0
3.093 0.000 0.000
0.000 3.093 0.000
0.000 0.000 6.182
Zn Tc As
1 2 1
Direct
0.000 0.000 0.000
0.000 0.000 0.494
0.500 0.500 0.761
0.500 0.500 0.270

ZnTc2As, optimized geometry, DFT PBE-GGA; calculated formation energy = 143 meV per atom; energy relative to the lowest polymorph listed for this composition = 123.2 meV/atom
1.0
2.936 0.000 0.000
0.000 3.813 0.000
-1.030 0.000 5.361
Zn Tc As
1 2 1
Direct
0.000 0.000 0.000
0.353 0.500 0.739
0.647 0.500 0.261
0.000 0.000 0.500

ZnTcAs2, optimized geometry, DFT PBE-GGA; calculated formation energy = -15 meV per atom
1.0
3.047 0.000 0.000
0.000 3.047 0.000
0.000 0.000 7.367
Zn Tc As
1 1 2
Direct
0.000 0.000 0.000
0.000 0.000 0.500
0.500 0.500 0.292
0.500 0.500 0.708

ZrTcAs2, optimized geometry, DFT PBE-GGA; calculated formation energy = -179 meV per atom; energy relative to the lowest polymorph listed for this composition = 407.9 meV/atom
1.0
3.310 0.000 0.000
0.000 5.134 0.000
0.000 0.000 8.397
Zr Tc As
2 2 4
Direct
0.000 0.000 0.000
0.500 0.500 0.500
0.000 0.000 0.500
0.500 0.500 0.000
0.000 0.500 0.226
0.000 0.500 0.774
0.500 0.000 0.274
0.500 0.000 0.726

ZrTc2As, optimized geometry, DFT PBE-GGA; calculated formation energy = -170 meV per atom
1.0
3.010 0.000 0.000
0.000 3.010 0.000
0.000 0.000 7.319
Zr Tc As
1 2 1
Direct
0.000 0.000 0.000
0.000 0.000 0.498
0.500 0.500 0.719
0.500 0.500 0.284

ZrTc2As, optimized geometry, DFT PBE-GGA; calculated formation energy = -109 meV per atom
1.0
3.504 0.000 0.000
0.000 4.131 0.000
0.000 0.000 4.565
Zr Tc As
1 2 1
Direct
0.000 0.000 0.000
0.000 0.500 0.500
0.500 0.000 0.500
0.500 0.500 0.000

Zr2TcAs2, optimized geometry, DFT PBE-GGA; calculated formation energy = -701 meV per atom
1.0
6.882 0.000 0.000
0.000 6.882 0.000
0.000 0.000 3.791
Zr Tc As
4 2 4
Direct
0.158 0.342 0.000
0.342 0.842 0.000
0.658 0.158 0.000
0.842 0.658 0.000
0.000 0.000 0.500
0.500 0.500 0.500
0.149 0.649 0.500
0.351 0.149 0.500
0.649 0.851 0.500
0.851 0.351 0.500

ZrTcAs2, optimized geometry, DFT PBE-GGA; calculated formation energy = -408 meV per atom; energy relative to the lowest polymorph listed for this composition = 178.7 meV/atom
1.0
4.562 0.000 0.000
0.000 4.562 0.000
0.000 0.000 3.224
Zr Tc As
1 1 2
Direct
0.000 0.000 0.000
0.500 0.500 0.000
0.000 0.500 0.500
0.500 0.000 0.500

Looking at energy for the records above, in order, we have -41.6; -19.5; -21.0; -79.1; -26.6; -26.1; -21.0; -57.9; -34.6; -34.4; -80.5; -29.8 eV per cell.